{
  "formula": "CoAuSeO",
  "functional": "PBE with a Hubbard U",
  "state": "relaxed",
  "lattice_angstrom": [[6.7085, 0.0000, 0.0000], [0.0000, 6.4440, 0.0000], [-0.3095, 0.0000, 5.8592]],
  "species": ["Co", "Co", "Co", "Co", "Au", "Au", "Au", "Au", "Se", "Se", "Se", "Se", "O", "O", "O", "O"],
  "frac_coords": [[0.0077, 0.1313, 0.2897], [0.0077, 0.3687, 0.7897], [0.9923, 0.6313, 0.2103], [0.9923, 0.8687, 0.7103], [0.4299, 0.7167, 0.9678], [0.4299, 0.7833, 0.4678], [0.5701, 0.2167, 0.5322], [0.5701, 0.2833, 0.0322], [0.2420, 0.1186, 0.9677], [0.2420, 0.3814, 0.4677], [0.7580, 0.6186, 0.5323], [0.7580, 0.8814, 0.0323], [0.1231, 0.6390, 0.9087], [0.1231, 0.8610, 0.4087], [0.8769, 0.1390, 0.5913], [0.8769, 0.3610, 0.0913]],
  "total_energy_ev_per_cell": -71.6,
  "de_polymorph_ev_per_fu": 0.05,
  "magmom_total_mub_per_fu": 2.1,
  "space_group": "P2_1/c (14)"
}